## A
## BeIrOs (PBE)

Data for a geometry-optimized BeIrOs structure.

Structure (CIF):
```
data_BeIrOs
_symmetry_space_group_name_H-M 'P 1 21/m 1'
_symmetry_Int_Tables_number 11
_cell_length_a 4.2824
_cell_length_b 2.7353
_cell_length_c 6.8027
_cell_angle_alpha 90.00
_cell_angle_beta 99.83
_cell_angle_gamma 90.00
loop_
_symmetry_equiv_pos_as_xyz
'x,y,z'
'-x,-y,-z'
'-x,y+1/2,-z'
'x,-y+1/2,z'
loop_
_atom_site_label
_atom_site_type_symbol
_atom_site_fract_x
_atom_site_fract_y
_atom_site_fract_z
_atom_site_occupancy
Be1 Be 0.2486 0.2500 0.0390 1
Ir1 Ir 0.1922 0.7500 0.7549 1
Os1 Os 0.3390 0.7500 0.3555 1
```

## B
## BeIrOs (PBE)

Data for a geometry-optimized BeIrOs structure.

Structure (CIF):
```
data_BeIrOs
_symmetry_space_group_name_H-M 'F m m 2'
_symmetry_Int_Tables_number 42
_symmetry_space_group_name_Hall 'F 2 -2'
_cell_length_a 2.7500
_cell_length_b 4.5797
_cell_length_c 12.3623
_cell_angle_alpha 90.00
_cell_angle_beta 90.00
_cell_angle_gamma 90.00
loop_
_atom_site_label
_atom_site_type_symbol
_atom_site_fract_x
_atom_site_fract_y
_atom_site_fract_z
_atom_site_occupancy
Be1 Be 0.0000 0.0000 0.0000 1
Ir1 Ir 0.0000 0.0000 0.3495 1
Os1 Os 0.0000 0.0000 0.6558 1
```

## C
## BeIrOs (PBE)

Data for a geometry-optimized BeIrOs structure.

Structure (CIF):
```
data_BeIrOs
_symmetry_space_group_name_H-M 'I m m 2'
_symmetry_Int_Tables_number 44
_cell_length_a 2.7222
_cell_length_b 3.6545
_cell_length_c 7.7473
_cell_angle_alpha 90.00
_cell_angle_beta 90.00
_cell_angle_gamma 90.00
loop_
_symmetry_equiv_pos_as_xyz
'x,y,z'
'-x,-y,z'
'-x,y,z'
'x,-y,z'
'x+1/2,y+1/2,z+1/2'
'-x+1/2,-y+1/2,z+1/2'
'-x+1/2,y+1/2,z+1/2'
'x+1/2,-y+1/2,z+1/2'
loop_
_atom_site_label
_atom_site_type_symbol
_atom_site_fract_x
_atom_site_fract_y
_atom_site_fract_z
_atom_site_occupancy
Be1 Be 0.0000 0.0000 0.0000 1
Ir1 Ir 0.0000 0.0000 0.6639 1
Os1 Os 0.0000 0.0000 0.3365 1
```

The structure with the greatest stability is A.